# 1
{"formula": "CaEuZnCd", "functional": "PBE", "state": "optimized geometry", "dft_energy_ev_per_fu": -15.6, "rho_g_cm3": 5.57, "formation_enthalpy_0k_ev_per_fu": -1.16, "total_magnetization_mub_per_cell": 29.0, "volume_a3_per_atom": 27.570, "lattice_angstrom": [[7.612, 0.000, 0.000], [0.000, 7.612, 0.000], [0.000, 0.000, 7.612]], "species": ["Ca", "Ca", "Ca", "Ca", "Eu", "Eu", "Eu", "Eu", "Zn", "Zn", "Zn", "Zn", "Cd", "Cd", "Cd", "Cd"], "frac_coords": [[0.000, 0.000, 0.000], [0.000, 0.500, 0.500], [0.500, 0.000, 0.500], [0.500, 0.500, 0.000], [0.000, 0.000, 0.500], [0.000, 0.500, 0.000], [0.500, 0.000, 0.000], [0.500, 0.500, 0.500], [0.250, 0.250, 0.750], [0.250, 0.750, 0.250], [0.750, 0.250, 0.250], [0.750, 0.750, 0.750], [0.250, 0.250, 0.250], [0.250, 0.750, 0.750], [0.750, 0.250, 0.750], [0.750, 0.750, 0.250]]}

# 2
{"formula": "CaCdF", "functional": "PBE", "state": "optimized geometry", "dft_energy_ev_per_fu": -10.8, "rho_g_cm3": 4.26, "total_magnetization_mub_per_cell": 0.0, "volume_a3_per_atom": 22.288, "relative_energy_mev_per_atom": 53.4, "lattice_angstrom": [[4.059, 0.000, 0.000], [0.000, 4.095, 0.000], [0.000, 0.000, 8.045]], "species": ["Ca", "Ca", "Cd", "Cd", "F", "F"], "frac_coords": [[0.250, 0.250, 0.154], [0.750, 0.750, 0.846], [0.250, 0.750, 0.476], [0.750, 0.250, 0.524], [0.250, 0.750, 0.994], [0.750, 0.250, 0.006]]}

# 3
{"formula": "CaCdF", "functional": "PBE", "state": "optimized geometry", "dft_energy_ev_per_fu": -10.5, "rho_g_cm3": 4.28, "total_magnetization_mub_per_cell": 0.0, "volume_a3_per_atom": 22.162, "relative_energy_mev_per_atom": 149.0, "lattice_angstrom": [[9.908, 0.000, 0.000], [0.000, 3.448, 0.000], [-0.220, 0.000, 7.783]], "species": ["Ca", "Ca", "Ca", "Ca", "Cd", "Cd", "Cd", "Cd", "F", "F", "F", "F"], "frac_coords": [[0.000, 0.000, 0.000], [0.245, 0.000, 0.323], [0.500, 0.500, 0.000], [0.745, 0.500, 0.323], [0.186, 0.500, 0.687], [0.460, 0.500, 0.566], [0.686, 0.000, 0.687], [0.960, 0.000, 0.566], [0.142, 0.500, 0.152], [0.373, 0.000, 0.084], [0.642, 0.000, 0.152], [0.873, 0.500, 0.084]]}

# 4
{"formula": "Ca2Cd2F", "functional": "PBE", "state": "optimized geometry", "dft_energy_ev_per_fu": -13.2, "rho_g_cm3": 4.16, "total_magnetization_mub_per_cell": 0.0, "volume_a3_per_atom": 25.883, "lattice_angstrom": [[6.753, 0.000, 0.000], [0.000, 6.753, 0.000], [0.000, 0.000, 5.675]], "species": ["Ca", "Ca", "Ca", "Ca", "Cd", "Cd", "Cd", "Cd", "F", "F"], "frac_coords": [[0.189, 0.311, 0.000], [0.311, 0.811, 0.000], [0.689, 0.189, 0.000], [0.811, 0.689, 0.000], [0.146, 0.646, 0.500], [0.354, 0.146, 0.500], [0.646, 0.854, 0.500], [0.854, 0.354, 0.500], [0.000, 0.000, 0.000], [0.500, 0.500, 0.000]]}

# 5
{"formula": "Ca2CdF", "functional": "PBE", "state": "optimized geometry", "dft_energy_ev_per_fu": -10.6, "rho_g_cm3": 3.36, "total_magnetization_mub_per_cell": 0.0, "volume_a3_per_atom": 26.130, "relative_energy_mev_per_atom": 504.8, "lattice_angstrom": [[7.477, 0.000, 0.000], [0.000, 7.477, 0.000], [0.000, 0.000, 7.477]], "species": ["Ca", "Ca", "Ca", "Ca", "Ca", "Ca", "Ca", "Ca", "Cd", "Cd", "Cd", "Cd", "F", "F", "F", "F"], "frac_coords": [[0.250, 0.250, 0.250], [0.250, 0.250, 0.750], [0.250, 0.750, 0.250], [0.250, 0.750, 0.750], [0.750, 0.250, 0.250], [0.750, 0.250, 0.750], [0.750, 0.750, 0.250], [0.750, 0.750, 0.750], [0.000, 0.000, 0.000], [0.000, 0.500, 0.500], [0.500, 0.000, 0.500], [0.500, 0.500, 0.000], [0.000, 0.000, 0.500], [0.000, 0.500, 0.000], [0.500, 0.000, 0.000], [0.500, 0.500, 0.500]]}

# 6
{"formula": "CaCd4F8", "functional": "PBE", "state": "optimized geometry", "dft_energy_ev_per_fu": -49.7, "rho_g_cm3": 4.24, "total_magnetization_mub_per_cell": 0.0, "volume_a3_per_atom": 19.342, "lattice_angstrom": [[0.000, 5.010, 5.010], [5.010, 0.000, 5.010], [5.010, 5.010, 0.000]], "species": ["Ca", "Cd", "Cd", "Cd", "Cd", "F", "F", "F", "F", "F", "F", "F", "F"], "frac_coords": [[0.000, 0.000, 0.000], [0.117, 0.628, 0.628], [0.628, 0.117, 0.628], [0.628, 0.628, 0.117], [0.628, 0.628, 0.628], [0.373, 0.876, 0.876], [0.397, 0.397, 0.397], [0.397, 0.397, 0.809], [0.397, 0.809, 0.397], [0.809, 0.397, 0.397], [0.876, 0.373, 0.876], [0.876, 0.876, 0.373], [0.876, 0.876, 0.876]]}

# 7
{"formula": "Ca2CdF", "functional": "PBE", "state": "optimized geometry", "dft_energy_ev_per_fu": -12.6, "rho_g_cm3": 3.37, "total_magnetization_mub_per_cell": 0.0, "volume_a3_per_atom": 26.075, "relative_energy_mev_per_atom": 0.0, "lattice_angstrom": [[7.164, 0.000, 0.000], [0.000, 7.164, 0.000], [0.000, 0.000, 8.128]], "species": ["Ca", "Ca", "Ca", "Ca", "Ca", "Ca", "Ca", "Ca", "Cd", "Cd", "Cd", "Cd", "F", "F", "F", "F"], "frac_coords": [[0.155, 0.750, 0.125], [0.250, 0.155, 0.875], [0.250, 0.345, 0.375], [0.345, 0.750, 0.625], [0.655, 0.250, 0.625], [0.750, 0.655, 0.375], [0.750, 0.845, 0.875], [0.845, 0.250, 0.125], [0.000, 0.000, 0.500], [0.000, 0.500, 0.750], [0.500, 0.000, 0.250], [0.500, 0.500, 0.000], [0.000, 0.000, 0.000], [0.000, 0.500, 0.250], [0.500, 0.000, 0.750], [0.500, 0.500, 0.500]]}

# 8
{"formula": "CaCdF", "functional": "PBE", "state": "optimized geometry", "dft_energy_ev_per_fu": -11.0, "rho_g_cm3": 4.55, "total_magnetization_mub_per_cell": 0.0, "volume_a3_per_atom": 20.860, "relative_energy_mev_per_atom": 0.0, "lattice_angstrom": [[3.916, 0.000, 0.000], [0.000, 3.916, 0.000], [0.000, 0.000, 8.162]], "species": ["Ca", "Ca", "Cd", "Cd", "F", "F"], "frac_coords": [[0.250, 0.250, 0.160], [0.750, 0.750, 0.840], [0.250, 0.250, 0.581], [0.750, 0.750, 0.419], [0.250, 0.750, 0.000], [0.750, 0.250, 0.000]]}